## Sm2AuBr (GGA-PBE)

Data for a relaxed structure of Sm2AuBr.

a = 4.1155 Å, b = 4.1155 Å, c = 23.9456 Å
α = 90.00°, β = 90.00°, γ = 120.00°
Atoms (fractional coordinates):
Sm1 0.0000 0.0000 0.0000
Sm2 0.0000 0.0000 0.1903
Sm3 0.3333 0.6667 0.6667
Sm4 0.3333 0.6667 0.8570
Sm5 0.6667 0.3333 0.3333
Sm6 0.6667 0.3333 0.5236
Au1 0.0000 0.0000 0.5944
Au2 0.3333 0.6667 0.2610
Au3 0.6667 0.3333 0.9277
Br1 0.0000 0.0000 0.7637
Br2 0.3333 0.6667 0.4304
Br3 0.6667 0.3333 0.0971

Output
- Total DFT energy (no corrections): -54.4 eV per cell
- E above lowest polymorph: 0.09 eV/f.u.
- Space group: R3m (160)
- ΔE_f (raw): -89.9 kJ per mole of atoms

## LiAlTe2O (GGA-PBE)

Data for a relaxed structure of LiAlTe2O.

a = 4.8936 Å, b = 4.8936 Å, c = 4.9642 Å
α = 90.00°, β = 90.00°, γ = 90.00°
Atoms (fractional coordinates):
Li1 0.0000 0.0000 0.0000
Al1 0.0000 0.0000 0.5000
Te1 0.0000 0.5000 0.0000
Te2 0.5000 0.0000 0.0000
O1 0.5000 0.5000 0.5000

Output
- Total DFT energy (no corrections): -14.0 eV per cell
- Space group: P4/mmm (123)
- ΔE_f (raw): 56.2 kJ per mole of atoms